Entry 1:
DFT (PBE-GGA) results for CePmTlCu after structural relaxation.

Cell: 5.3122 5.3122 5.3122 Å, 60.00 60.00 60.00°
Each line ends with the local moment (μB).
Fractional coordinates of all 4 atoms:
Tl 0.2500 0.2500 0.2500  -0.01
Ce 0.5000 0.5000 0.5000  0.84
Cu 0.7500 0.7500 0.7500  0.02
Pm 0.0000 0.0000 0.0000  0.18

Computed properties:
DFT formation energy ... -2.8 kcal/mol of atoms
Space group ... F-43m, No. 216

---

Entry 2:
DFT (PBE-GGA) results for CePmZnCu after structural relaxation.

Cell: 5.0995 5.0995 5.0995 Å, 60.00 60.00 60.00°
Each line ends with the local moment (μB).
Fractional coordinates of all 4 atoms:
Zn 0.7500 0.7500 0.7500  0.01
Ce 0.5000 0.5000 0.5000  0.74
Pm 0.0000 0.0000 0.0000  0.14
Cu 0.2500 0.2500 0.2500  0.04

Computed properties:
DFT formation energy ... -3.2 kcal/mol of atoms
Space group ... F-43m, No. 216

---

Entry 3:
DFT (PBE-GGA) results for CePr2Cu after structural relaxation.

Cell: 3.4504 3.4504 11.4154 Å, 81.31 81.31 60.00°
Each line ends with the local moment (μB).
Fractional coordinates of all 4 atoms:
Pr 0.8995 0.8995 0.3014  -0.04
Pr 0.1005 0.1005 0.6986  -0.04
Ce 0.0000 0.0000 0.0000  0.68
Cu 0.5000 0.5000 0.5000  -0.01

Computed properties:
DFT formation energy ... 6.4 kcal/mol of atoms
Space group ... R-3m, No. 166
Relative energy among the computed polymorphs ... 0.2713 eV per atom

---

Entry 4:
DFT (PBE-GGA) results for CePr2Cu6 after structural relaxation.

Cell: 3.7356 7.4588 7.4589 Å, 120.00 90.00 90.00°
Each line ends with the local moment (μB).
Fractional coordinates of all 9 atoms:
Cu 0.5000 0.6684 0.6684  0.00
Cu 0.5000 0.3316 0.3316  0.00
Cu 0.5000 0.0000 0.6684  0.00
Cu 0.5000 0.6684 0.0000  0.00
Cu 0.5000 0.3316 0.0000  0.00
Cu 0.5000 0.0000 0.3316  0.00
Ce 0.0000 0.0000 0.0000  0.67
Pr 0.0000 0.3333 0.6667  0.01
Pr 0.0000 0.6667 0.3333  0.01

Computed properties:
DFT formation energy ... -4.1 kcal/mol of atoms
Space group ... P6/mmm, No. 191

---

Entry 5:
DFT (PBE-GGA) results for CePrCu2 after structural relaxation.

Cell: 3.5929 3.5929 7.0774 Å, 90.00 90.00 90.00°
Each line ends with the local moment (μB).
Fractional coordinates of all 4 atoms:
Ce 0.5000 0.5000 0.0000  0.66
Cu 0.0000 0.0000 0.7682  0.01
Cu 0.0000 0.0000 0.2318  0.01
Pr 0.5000 0.5000 0.5000  0.08

Computed properties:
DFT formation energy ... -1.4 kcal/mol of atoms
Space group ... P4/mmm, No. 123
Relative energy among the computed polymorphs ... 0.0247 eV per atom

---

Entry 6:
DFT (PBE-GGA) results for CePr2Cu after structural relaxation.

Cell: 3.5070 5.5422 5.5422 Å, 90.00 90.00 90.00°
Fractional coordinates of all 4 atoms:
Pr 0.0000 0.0000 0.5000
Pr 0.0000 0.5000 0.0000
Ce 0.5000 0.5000 0.5000
Cu 0.5000 0.0000 0.0000

Computed properties:
DFT formation energy ... 3.0 kcal/mol of atoms
Space group ... P4/mmm, No. 123
Relative energy among the computed polymorphs ... 0.1263 eV per atom